DFT (PBE+U) results for YWF3 after structural relaxation.

a = 4.5162 Å, b = 4.5162 Å, c = 4.5162 Å
α = 90.00°, β = 90.00°, γ = 90.00°
Fractional coordinates of all 5 atoms:
Y: 0.0000 0.0000 0.0000
W: 0.5000 0.5000 0.5000
F: 0.0000 0.0000 0.5000
F: 0.0000 0.5000 0.0000
F: 0.5000 0.0000 0.0000

Density = 5.9 g/cm³
Polymorph energy (0 for the lowest one) = 0 meV per atom
Space group = Pm-3m
VASP energy = -5.970 eV/atom
D(E_F) = 1.26 states/eV per cell
Spin magnetization = 5.9 μB/cell